## Ce5GeIr (GGA-PBE)

Data for a geometry-optimized Ce5GeIr structure.

```
Ce5GeIr
1.0
4.3092 -4.3396 0.0000
4.3092 4.3396 0.0000
-1.7104 0.0000 9.5089
Ce Ge Ir
10 2 2
direct
0.0060 0.6188 0.3201 Ce
0.1651 0.8349 0.7500 Ce
0.2047 0.4276 0.9616 Ce
0.3812 0.9940 0.1799 Ce
0.4276 0.2047 0.4616 Ce
0.5724 0.7953 0.5384 Ce
0.6188 0.0060 0.8201 Ce
0.7953 0.5724 0.0384 Ce
0.8349 0.1651 0.2500 Ce
0.9940 0.3812 0.6799 Ce
0.4794 0.5206 0.2500 Ge
0.5206 0.4794 0.7500 Ge
0.0000 0.0000 0.0000 Ir
0.0000 0.0000 0.5000 Ir
```

Output
Its density of states at the Fermi level is 2.4482 states/eV per atom. Its raw total energy is -6.54 eV/atom. As for the formation energy: -0.381 eV/atom.

---

## CeGe3Ir (GGA-PBE)

Data for a geometry-optimized CeGe3Ir structure.

```
CeGe3Ir
1.0
6.1299 0.0000 0.0000
0.0000 5.6731 0.0000
0.0000 0.0000 5.8114
Ce Ge Ir
2 6 2
direct
0.0000 0.1399 0.0000 Ce
0.5000 0.8601 0.5000 Ce
0.0000 0.9107 0.5491 Ge
0.2355 0.3155 0.4496 Ge
0.2645 0.6845 0.9496 Ge
0.5000 0.0893 0.0491 Ge
0.7355 0.6845 0.9496 Ge
0.7645 0.3155 0.4496 Ge
0.0000 0.6099 0.2544 Ir
0.5000 0.3901 0.7544 Ir
```

Output
Its density of states at the Fermi level is 0.6323 states/eV per atom. Its raw total energy is -6.34 eV/atom. As for the formation energy: -0.613 eV/atom.